Below is an optimized crystal structure of Ti3Zn2Pd, with properties calculated at the GGA-PBE level.

Results
**Offset from the most stable computed form**: 0 meV/atom
**Uncorrected energy**: -33.1 eV/cell
**DFT formation energy**: -275 meV per atom
**Total magnetization**: 0.48 μB per formula unit

a b c (Å): 3.1860 3.1860 9.2752
angles (deg): 90.00 90.00 90.00
Closest atoms and distances in Å follow each position.
Space group P4/mmm (No. 123)
Asymmetric unit:
1 Ti 0.0000 0.0000 0.0000 x1  8 Zn 2.72
2 Ti 0.0000 0.0000 0.3312 x2  4 Zn 2.73, 4 Pd 2.74
3 Zn 0.5000 0.5000 0.1650 x2  8 Ti 2.72-2.73
4 Pd 0.5000 0.5000 0.5000 x1  8 Ti 2.74